[1]
Here is a relaxed structure of PmPr2Zn6 from the Alexandria database. Energies are from PBE.

Structure (POSCAR):
```
PmPr2Zn6
1.0
-3.023 1.979 -0.423
-4.391 -6.227 2.251
2.628 5.176 5.424
Zn Pr Pm
6 2 1
direct
0.500 0.000 0.669 Zn
0.500 0.000 0.331 Zn
0.500 0.669 0.000 Zn
0.500 0.331 0.000 Zn
0.500 0.669 0.669 Zn
0.500 0.331 0.331 Zn
0.000 0.333 0.667 Pr
0.000 0.667 0.333 Pr
0.000 0.000 0.000 Pm
```

Properties
calculated total energy	-2.78	eV/atom
DFT formation energy	-345	meV/atom
volume	199	Å³ per cell

[2]
Here is a relaxed structure of Ac7Nd3Y2 from the Alexandria database. Energies are from PBE.

Structure (POSCAR):
```
Ac7Nd3Y2
1.0
-1.518 -1.844 2.924
-4.590 -3.019 -4.288
8.457 -16.141 -5.791
Ac Nd Y
7 3 2
direct
0.500 0.052 0.176 Ac
0.500 0.240 0.506 Ac
0.000 0.445 0.829 Ac
0.500 0.948 0.824 Ac
0.500 0.760 0.494 Ac
0.000 0.555 0.171 Ac
0.000 0.000 0.000 Ac
0.500 0.500 0.000 Nd
0.000 0.881 0.659 Nd
0.000 0.119 0.341 Nd
0.500 0.389 0.668 Y
0.500 0.611 0.332 Y
```

Properties
calculated total energy	-4.56	eV/atom
DFT formation energy	106	meV/atom
volume	486	Å³ per cell

[3]
Here is a relaxed structure of AsAuCSe2 from the Alexandria database. Energies are from PBE.

Structure (POSCAR):
```
AsAuCSe2
1.0
5.175 0.000 0.000
0.000 5.175 0.000
0.000 0.000 4.922
C Au Se As
1 1 2 1
direct
0.500 0.500 0.500 C
0.000 0.000 0.000 Au
0.000 0.500 0.000 Se
0.500 0.000 0.000 Se
0.000 0.000 0.500 As
```

Properties
calculated total energy	-2.78	eV/atom
formation energy from raw total energies	2045	meV per atom
offset from the most stable computed form	879	meV/atom
volume	132	Å³ per cell

[4]
Here is a relaxed structure of TbHo2 from the Alexandria database. Energies are from PBE.

Structure (POSCAR):
```
TbHo2
1.0
-2.407 1.089 -5.970
3.661 -1.213 -5.267
-1.457 -5.029 -3.900
Ho Tb
4 2
direct
0.625 0.625 0.625 Ho
0.625 0.125 0.625 Ho
0.125 0.625 0.625 Ho
0.625 0.625 0.125 Ho
0.250 0.250 0.250 Tb
0.000 0.000 0.000 Tb
```

Properties
calculated total energy	-4.32	eV/atom
DFT formation energy	275	meV/atom
offset from the most stable computed form	269	meV/atom
volume	197	Å³ per cell

[5]
Here is a relaxed structure of RbPa2PO8 from the Alexandria database. Energies are from PBE.

Structure (POSCAR):
```
RbPa2PO8
1.0
5.028 0.000 0.000
-2.514 4.354 0.000
0.000 0.000 8.478
O P Pa Rb
8 1 2 1
direct
0.667 0.333 0.356 O
0.162 0.323 0.114 O
0.838 0.162 0.886 O
0.323 0.162 0.886 O
0.333 0.667 0.644 O
0.162 0.838 0.114 O
0.838 0.677 0.886 O
0.677 0.838 0.114 O
0.000 0.000 0.000 P
0.667 0.333 0.133 Pa
0.333 0.667 0.867 Pa
0.000 0.000 0.500 Rb
```

Properties
calculated total energy	-8.19	eV/atom
formation energy from raw total energies	-2774	meV per atom
volume	186	Å³ per cell

[6]
Here is a relaxed structure of Sr2Zn4Pd5 from the Alexandria database. Energies are from PBE.

Structure (POSCAR):
```
Sr2Zn4Pd5
1.0
5.236 0.000 2.499
2.618 4.901 1.250
-0.731 0.000 8.265
Zn Pd Sr
4 5 2
direct
0.790 0.677 0.744 Zn
0.467 0.323 0.744 Zn
0.210 0.323 0.256 Zn
0.533 0.677 0.256 Zn
0.750 0.500 0.500 Pd
0.250 0.500 0.500 Pd
0.500 0.500 0.000 Pd
0.000 0.500 0.000 Pd
0.500 0.000 0.000 Pd
0.869 0.000 0.263 Sr
0.131 0.000 0.737 Sr
```

Properties
calculated total energy	-3.72	eV/atom
DFT formation energy	-589	meV/atom
offset from the most stable computed form	0	meV/atom
volume	221	Å³ per cell

[7]
Here is a relaxed structure of La6Nd2Ho from the Alexandria database. Energies are from PBE.

Structure (POSCAR):
```
La6Nd2Ho
1.0
4.801 -9.071 0.000
4.801 9.071 0.000
0.000 0.000 3.704
La Ho Nd
6 1 2
direct
0.164 0.493 0.000 La
0.836 0.507 0.000 La
0.680 0.680 0.500 La
0.320 0.320 0.500 La
0.493 0.164 0.000 La
0.507 0.836 0.000 La
0.000 0.000 0.000 Ho
0.172 0.828 0.500 Nd
0.828 0.172 0.500 Nd
```

Properties
calculated total energy	-4.74	eV/atom
DFT formation energy	115	meV/atom
offset from the most stable computed form	59	meV/atom
volume	323	Å³ per cell

[8]
Here is a relaxed structure of BTe2PI from the Alexandria database. Energies are from PBE.

Structure (POSCAR):
```
BTe2PI
1.0
4.946 0.000 0.000
0.000 4.946 0.000
0.000 0.000 4.773
P B Te I
1 1 2 1
direct
0.500 0.500 0.500 P
0.000 0.000 0.000 B
0.500 0.000 0.000 Te
0.000 0.500 0.000 Te
0.000 0.000 0.500 I
```

Properties
calculated total energy	-2.91	eV/atom
formation energy from raw total energies	1073	meV per atom
offset from the most stable computed form	0	meV/atom
volume	117	Å³ per cell

[9]
Here is a relaxed structure of Sc4Cr5 from the Alexandria database. Energies are from PBE.

Structure (POSCAR):
```
Sc4Cr5
1.0
-7.596 -1.768 -1.875
-4.927 -2.959 5.595
-1.594 5.342 1.422
Sc Cr
8 10
direct
0.000 0.000 0.000 Sc
0.000 0.000 0.500 Sc
0.630 0.370 0.250 Sc
0.370 0.000 0.250 Sc
0.370 0.630 0.750 Sc
0.000 0.370 0.750 Sc
0.000 0.630 0.250 Sc
0.630 0.000 0.750 Sc
0.692 0.000 0.250 Cr
0.333 0.333 0.500 Cr
0.667 0.667 0.000 Cr
0.000 0.308 0.250 Cr
0.308 0.692 0.250 Cr
0.692 0.308 0.750 Cr
0.667 0.667 0.500 Cr
0.000 0.692 0.750 Cr
0.333 0.333 0.000 Cr
0.308 0.000 0.750 Cr
```

Properties
calculated total energy	-7.66	eV/atom
DFT formation energy	505	meV/atom
offset from the most stable computed form	100	meV/atom
volume	321	Å³ per cell

[10]
Here is a relaxed structure of LiZnPb2O6 from the Alexandria database. Energies are from PBE.

Structure (POSCAR):
```
LiZnPb2O6
1.0
-3.029 0.261 -4.550
-5.460 -0.148 0.335
-2.940 4.878 -1.055
O Li Pb Zn
6 1 2 1
direct
0.209 0.943 0.249 O
0.428 0.701 0.757 O
0.599 0.209 0.249 O
0.701 0.115 0.757 O
0.115 0.428 0.757 O
0.943 0.599 0.249 O
0.803 0.803 0.591 Li
0.023 0.023 0.932 Pb
0.526 0.526 0.423 Pb
0.316 0.316 0.053 Zn
```

Properties
calculated total energy	-5.03	eV/atom
formation energy from raw total energies	-995	meV per atom
volume	126	Å³ per cell

[11]
Here is a relaxed structure of PrDy3Cd4 from the Alexandria database. Energies are from PBE.

Structure (POSCAR):
```
PrDy3Cd4
1.0
-4.270 -2.684 -1.668
1.761 -5.744 4.738
-5.829 4.522 7.648
Pr Dy Cd
2 6 8
direct
0.000 0.500 0.500 Pr
0.000 0.500 0.000 Pr
0.000 0.000 0.000 Dy
0.499 0.000 0.250 Dy
0.499 0.500 0.250 Dy
0.000 0.000 0.500 Dy
0.501 0.000 0.750 Dy
0.501 0.500 0.750 Dy
0.500 0.240 0.000 Cd
0.500 0.760 0.000 Cd
0.500 0.760 0.500 Cd
0.500 0.240 0.500 Cd
0.001 0.760 0.750 Cd
0.001 0.240 0.750 Cd
0.999 0.240 0.250 Cd
0.999 0.760 0.250 Cd
```

Properties
calculated total energy	-3.09	eV/atom
DFT formation energy	-312	meV/atom
volume	432	Å³ per cell

[12]
Here is a relaxed structure of AlV4N3 from the Alexandria database. Energies are from PBE.

Structure (POSCAR):
```
AlV4N3
1.0
1.399 -2.424 0.000
1.399 2.424 0.000
0.000 0.000 23.800
N Al V
6 2 8
direct
0.000 0.000 0.892 N
0.000 0.000 0.500 N
0.000 0.000 0.000 N
0.000 0.000 0.608 N
0.000 0.000 0.108 N
0.000 0.000 0.392 N
0.333 0.667 0.250 Al
0.667 0.333 0.750 Al
0.667 0.333 0.159 V
0.667 0.333 0.946 V
0.667 0.333 0.554 V
0.333 0.667 0.054 V
0.333 0.667 0.841 V
0.333 0.667 0.659 V
0.333 0.667 0.446 V
0.667 0.333 0.341 V
```

Properties
calculated total energy	-9.05	eV/atom
formation energy from raw total energies	-897	meV per atom
offset from the most stable computed form	0	meV/atom
volume	161	Å³ per cell

Look up the volume of the twelfth one. 161 Å³ per cell

Repeat the second record exactly.
Here is a relaxed structure of Ac7Nd3Y2 from the Alexandria database. Energies are from PBE.

Structure (POSCAR):
```
Ac7Nd3Y2
1.0
-1.518 -1.844 2.924
-4.590 -3.019 -4.288
8.457 -16.141 -5.791
Ac Nd Y
7 3 2
direct
0.500 0.052 0.176 Ac
0.500 0.240 0.506 Ac
0.000 0.445 0.829 Ac
0.500 0.948 0.824 Ac
0.500 0.760 0.494 Ac
0.000 0.555 0.171 Ac
0.000 0.000 0.000 Ac
0.500 0.500 0.000 Nd
0.000 0.881 0.659 Nd
0.000 0.119 0.341 Nd
0.500 0.389 0.668 Y
0.500 0.611 0.332 Y
```

Properties
calculated total energy	-4.56	eV/atom
DFT formation energy	106	meV/atom
volume	486	Å³ per cell

The highest volume belongs to which entry? Ac7Nd3Y2